Density functional theory data (GGA-PBEsol) for an optimized crystal structure of LaVN3.

## Properties
VASP energy in eV/atom: -9.321
Total moment in μB/atom: 0.000
V in Å³/cell: 125
Formation energy without anion corrections in meV/atom: -1209

```
data_LaVN3
_chemical_formula_sum 'La2 V2 N6'
_space_group_name_H-M_alt 'P 1'
_space_group_IT_number 1
_cell_length_a 3.593
_cell_length_b 5.886
_cell_length_c 6.164
_cell_angle_alpha 105.48
_cell_angle_beta 96.00
_cell_angle_gamma 90.72
loop_
_space_group_symop_operation_xyz
'x,y,z'
loop_
_atom_site_label
_atom_site_fract_x
_atom_site_fract_y
_atom_site_fract_z
La1 0.000 0.000 0.000
La2 0.064 0.545 0.456
V1 0.525 0.503 0.975
V2 0.592 0.034 0.478
N1 0.002 0.440 0.034
N2 0.120 0.057 0.611
N3 0.414 0.166 0.775
N4 0.519 0.685 0.796
N5 0.549 0.744 0.282
N6 0.553 0.223 0.307
```

=====

Density functional theory data (GGA-PBEsol) for an optimized crystal structure of Hf2CdP2.

## Properties
VASP energy in eV/atom: -7.286
Total moment in μB/atom: 0.000
V in Å³/cell: 178

```
data_Hf2CdP2
_chemical_formula_sum 'Hf4 Cd2 P4'
_space_group_name_H-M_alt 'I 4/m m m'
_space_group_IT_number 139
_space_group_name_Hall '-I 4 2'
_cell_length_a 3.439
_cell_length_b 3.439
_cell_length_c 15.010
_cell_angle_alpha 90.00
_cell_angle_beta 90.00
_cell_angle_gamma 90.00
loop_
_atom_site_label
_atom_site_fract_x
_atom_site_fract_y
_atom_site_fract_z
Hf1 0.000 0.000 0.119
Cd1 0.000 0.000 0.500
P1 0.000 0.500 0.250
```

=====

Density functional theory data (GGA-PBEsol) for an optimized crystal structure of ScAlBi2.

## Properties
VASP energy in eV/atom: -4.789
Total moment in μB/atom: 0.000
V in Å³/cell: 551

```
data_ScAlBi2
_chemical_formula_sum 'Sc4 Al4 Bi8'
_space_group_name_H-M_alt 'I -4 2 d'
_space_group_IT_number 122
_space_group_name_Hall 'I -4 2bw'
_cell_length_a 6.717
_cell_length_b 6.717
_cell_length_c 12.205
_cell_angle_alpha 90.00
_cell_angle_beta 90.00
_cell_angle_gamma 90.00
loop_
_atom_site_label
_atom_site_fract_x
_atom_site_fract_y
_atom_site_fract_z
Sc1 0.000 0.000 0.000
Al1 0.000 0.000 0.500
Bi1 0.232 0.250 0.625
```

=====

Density functional theory data (GGA-PBEsol) for an optimized crystal structure of EuAl2Zn2.

## Properties
VASP energy in eV/atom: -4.745
Total moment in μB/atom: 1.385
V in Å³/cell: 189

```
data_EuAl2Zn2
_chemical_formula_sum 'Eu2 Al4 Zn4'
_space_group_name_H-M_alt 'I 4/m m m'
_space_group_IT_number 139
_space_group_name_Hall '-I 4 2'
_cell_length_a 4.146
_cell_length_b 4.146
_cell_length_c 11.020
_cell_angle_alpha 90.00
_cell_angle_beta 90.00
_cell_angle_gamma 90.00
loop_
_atom_site_label
_atom_site_fract_x
_atom_site_fract_y
_atom_site_fract_z
Eu1 0.000 0.000 0.000
Al1 0.000 0.500 0.250
Zn1 0.000 0.000 0.389
```

=====

Density functional theory data (GGA-PBEsol) for an optimized crystal structure of Si2HIr.

## Properties
VASP energy in eV/atom: -6.058
Total moment in μB/atom: 0.000
V in Å³/cell: 187

```
data_Si2HIr
_chemical_formula_sum 'Si8 H4 Ir4'
_space_group_name_H-M_alt 'F m -3 m'
_space_group_IT_number 225
_space_group_name_Hall '-F 4 2 3'
_cell_length_a 5.717
_cell_length_b 5.717
_cell_length_c 5.717
_cell_angle_alpha 90.00
_cell_angle_beta 90.00
_cell_angle_gamma 90.00
loop_
_atom_site_label
_atom_site_fract_x
_atom_site_fract_y
_atom_site_fract_z
Si1 0.250 0.250 0.250
H1 0.000 0.000 0.000
Ir1 0.000 0.000 0.500
```

=====

Density functional theory data (GGA-PBEsol) for an optimized crystal structure of Na2Ca2Si3O9.

## Properties
VASP energy in eV/atom: -7.224
Total moment in μB/atom: 0.000
V in Å³/cell: 1281
Formation energy without anion corrections in meV/atom: -2752

```
data_Na2Ca2Si3O9
_chemical_formula_sum 'Na12 Ca12 Si18 O54'
_space_group_name_H-M_alt 'R 3 m'
_space_group_IT_number 160
_space_group_name_Hall 'R 3 -2"'
_cell_length_a 10.5607
_cell_length_b 10.5607
_cell_length_c 13.2620
_cell_angle_alpha 90.00
_cell_angle_beta 90.00
_cell_angle_gamma 120.00
loop_
_atom_site_label
_atom_site_fract_x
_atom_site_fract_y
_atom_site_fract_z
Na1 0.0000 0.0000 0.0000
Na2 0.0647 0.5324 0.2379
Ca1 0.0000 0.0000 0.2524
Ca2 0.1748 0.3495 0.0805
Si1 0.0254 0.5127 0.4838
Si2 0.1802 0.3604 0.3545
O1 0.0007 0.2525 0.7512
O2 0.0931 0.1862 0.3708
O3 0.0931 0.5465 0.5951
O4 0.1846 0.0923 0.1372
O5 0.2128 0.4256 0.2425
```